1.
Here is a geometry-optimized Hg5Cl4O4 structure from Alexandria. Energies are from PBE-GGA.

Structure (POSCAR):
```
Hg5Cl4O4
1.0
5.585 0.000 0.000
0.693 7.034 0.000
0.639 1.308 7.693
Hg Cl O
5 4 4
direct
0.000 0.000 0.000
0.219 0.640 0.340
0.253 0.146 0.333
0.747 0.854 0.667
0.781 0.360 0.660
0.191 0.384 0.967
0.259 0.860 0.663
0.741 0.140 0.337
0.809 0.616 0.033
0.219 0.368 0.480
0.257 0.911 0.190
0.743 0.089 0.810
0.781 0.632 0.520
```

2.
Here is a geometry-optimized Hg3Cl5O structure from Alexandria. Energies are from PBE-GGA.

Structure (POSCAR):
```
Hg3Cl5O
1.0
6.547 -5.115 0.000
6.547 5.115 0.000
-5.577 0.000 8.609
Hg Cl O
6 10 2
direct
0.000 0.000 0.000
0.000 0.000 0.500
0.241 0.241 0.392
0.346 0.346 0.809
0.654 0.654 0.191
0.759 0.759 0.608
0.002 0.345 0.639
0.201 0.201 0.064
0.327 0.673 0.000
0.345 0.002 0.639
0.437 0.437 0.613
0.563 0.563 0.387
0.655 0.998 0.361
0.673 0.327 0.000
0.799 0.799 0.936
0.998 0.655 0.361
0.059 0.059 0.230
0.941 0.941 0.770
```

3.
Here is a geometry-optimized Hg2ClO structure from Alexandria. Energies are from PBE-GGA.

Structure (POSCAR):
```
Hg2ClO
1.0
6.156 -3.055 0.000
6.156 3.055 0.000
-2.627 0.000 9.392
Hg Cl O
8 4 4
direct
0.000 0.500 0.500
0.095 0.905 0.750
0.257 0.644 0.104
0.356 0.743 0.396
0.500 0.000 0.000
0.644 0.257 0.604
0.743 0.356 0.896
0.905 0.095 0.250
0.007 0.615 0.860
0.385 0.993 0.640
0.615 0.007 0.360
0.993 0.385 0.140
0.246 0.595 0.561
0.405 0.754 0.939
0.595 0.246 0.061
0.754 0.405 0.439
```

| no. | raw formation energy (eV/atom) |
| --- | --- |
| 1 | -0.229 |
| 2 | -0.372 |
| 3 | -0.402 |